(1)
In5Mo3 | PBE | optimized geometry

Computed properties:
Raw total energy   -5.277 eV/atom
Crystal system   hexagonal
Energy relative to the elements   0.496 eV/atom
Relative energy among the computed polymorphs   37 meV per atom

Cell lengths 8.2993, 8.2993, 5.3927 Å; angles 90.00, 90.00, 120.00 degrees
Last column: nearest neighbours and their distance in Å.
Fractional coordinates of all 16 atoms:
1 Mo 0.5949 0.0000 0.2500  9 In 2.86-3.05, 2 Mo 3.12
2 Mo 0.4051 0.0000 0.7500  9 In 2.86-3.05, 2 Mo 3.12
3 Mo 0.0000 0.5949 0.2500  9 In 2.86-3.05, 2 Mo 3.12
4 Mo 0.4051 0.4051 0.2500  9 In 2.86-3.05, 2 Mo 3.12
5 Mo 0.5949 0.5949 0.7500  9 In 2.86-3.05, 2 Mo 3.12
6 Mo 0.0000 0.4051 0.7500  9 In 2.86-3.05, 2 Mo 3.12
7 In 0.3333 0.6667 0.0000  2 In 2.70, 6 Mo 2.86
8 In 0.6667 0.3333 0.5000  2 In 2.70, 6 Mo 2.86
9 In 0.6667 0.3333 0.0000  2 In 2.70, 6 Mo 2.86
10 In 0.3333 0.6667 0.5000  2 In 2.70, 6 Mo 2.86
11 In 0.2344 0.0000 0.2500  5 Mo 2.92-3.05
12 In 0.7656 0.0000 0.7500  5 Mo 2.92-3.05
13 In 0.0000 0.2344 0.2500  5 Mo 2.92-3.05
14 In 0.7656 0.7656 0.2500  5 Mo 2.92-3.05
15 In 0.2344 0.2344 0.7500  5 Mo 2.92-3.05
16 In 0.0000 0.7656 0.7500  5 Mo 2.92-3.05

(2)
ScOs2Au | PBE | optimized geometry

Computed properties:
Raw total energy   -7.816 eV/atom
Crystal system   cubic
Energy relative to the elements   0.201 eV/atom
Relative energy among the computed polymorphs   297 meV per atom

Cell lengths 4.5304, 4.5304, 4.5304 Å; angles 60.00, 60.00, 60.00 degrees
Last column: nearest neighbours and their distance in Å.
Fractional coordinates of all 4 atoms:
1 Au 0.5000 0.5000 0.5000  4 Sc 2.77, 4 Os 2.77
2 Os 0.0000 0.0000 0.0000  4 Sc 2.77, 4 Os 2.77
3 Os 0.2500 0.2500 0.2500  4 Au 2.77, 4 Os 2.77
4 Sc 0.7500 0.7500 0.7500  4 Au 2.77, 4 Os 2.77

(3)
Rb3InBi3S8 | PBE | optimized geometry

Computed properties:
Raw total energy   -4.017 eV/atom
Crystal system   trigonal

Cell lengths 8.1114, 8.1095, 9.2372 Å; angles 116.03, 90.00, 120.02 degrees
Last column: nearest neighbours and their distance in Å.
Fractional coordinates of all 15 atoms:
1 Rb 0.0000 0.0000 0.0000  6 S 3.34-3.37
2 Rb 0.0000 0.5000 0.0000  6 S 3.34-3.37
3 Rb 0.5000 0.5000 0.0000  6 S 3.34-3.37
4 In 0.0000 0.0000 0.5000  6 S 2.69
5 Bi 0.5000 0.0000 0.5000  6 S 2.83
6 Bi 0.5000 0.5000 0.5000  6 S 2.83
7 Bi 0.0000 0.5000 0.5000  6 S 2.83
8 S 0.2666 0.5330 0.2995  3 Bi 2.83
9 S 0.7334 0.4670 0.7005  3 Bi 2.83
10 S 0.7782 0.5565 0.3111  1 In 2.69, 2 Bi 2.83
11 S 0.2218 0.4435 0.6889  1 In 2.69, 2 Bi 2.83
12 S 0.7782 0.0329 0.3112  1 In 2.69, 2 Bi 2.83
13 S 0.2218 0.9671 0.6888  1 In 2.69, 2 Bi 2.83
14 S 0.2548 0.0330 0.3112  1 In 2.69, 2 Bi 2.83
15 S 0.7452 0.9670 0.6888  1 In 2.69, 2 Bi 2.83

(4)
ZrRu2I | PBE | optimized geometry

Computed properties:
Raw total energy   -6.374 eV/atom
Crystal system   tetragonal
Relative energy among the computed polymorphs   371 meV per atom

Cell lengths 5.5522, 5.5522, 7.6289 Å; angles 68.66, 68.66, 90.00 degrees
Last column: nearest neighbours and their distance in Å.
Fractional coordinates of all 8 atoms:
1 I 0.0000 0.0000 0.0000  4 Ru 2.56
2 I 0.7500 0.2500 0.5000  4 Ru 2.56
3 Ru 0.6237 0.1250 0.2500  2 Zr 2.55, 2 I 2.56
4 Ru 0.1263 0.6250 0.2500  2 Zr 2.55, 2 I 2.56
5 Ru 0.3750 0.3763 0.7500  2 Zr 2.55, 2 I 2.56
6 Ru 0.8750 0.8737 0.7500  2 Zr 2.55, 2 I 2.56
7 Zr 0.5000 0.5000 0.0000  4 Ru 2.55
8 Zr 0.2500 0.7500 0.5000  4 Ru 2.55